[1]
Density functional theory data (GGA-PBE) for Y2AsOs after structural relaxation.

Cell lengths 7.545, 7.545, 6.608 Å; angles 90.00, 90.00, 90.00 degrees
Space group I-42d (No. 122)
One atom of each set of equivalent atoms:
Y: 0.234 0.250 0.125
As: 0.000 0.000 0.500
Os: 0.000 0.000 0.000

[2]
Density functional theory data (GGA-PBE) for LiCdMo after structural relaxation.

Cell lengths 2.712, 2.712, 13.864 Å; angles 90.00, 90.00, 90.00 degrees
Space group I4mm (No. 107)
One atom of each set of equivalent atoms:
Li: 0.000 0.000 0.000
Cd: 0.000 0.000 0.333
Mo: 0.000 0.000 0.662

[3]
Density functional theory data (GGA-PBE) for Zr3ZnSn after structural relaxation.

Cell lengths 4.964, 4.964, 4.964 Å; angles 90.00, 90.00, 90.00 degrees
Space group Pm-3m (No. 221)
One atom of each set of equivalent atoms:
Zr: 0.000 0.000 0.500
Zn: 0.000 0.000 0.000
Sn: 0.500 0.500 0.500

no.,total moment (μB per formula unit),Fermi-level density of states (states/eV per cell),polymorph energy (0 for the lowest one) (eV/atom)
1,0.00,9.98,0.597
2,0.00,3.55,0.014
3,0.00,4.59,0.290